VASP calculation (PBEsol) on a relaxed structure of SrO2.

As for the final energy: -0.2217 Ha/atom.

The structure belongs to space group I4/mmm (No. 139); the cell edges are 3.5215, 3.5215 and 6.6299 Å and the angles 90.00°, 90.00° and 90.00°. The inequivalent atoms are Sr at (0.0000, 0.0000, 0.0000) and O at (0.0000, 0.0000, 0.3878).